Entry 1:
Computed, not measured: a relaxed Pr5AgHg2 crystal at the PBE level of DFT.

As for the final energy: -3.654 eV per atom. As for the formation energy: -0.24 eV/atom. As for the magnetization: 0.000 μB/atom.

It has space group I4/mcm (No. 140), with a = 7.907 Å, b = 7.907 Å, c = 15.880 Å, α = 90.00°, β = 90.00° and γ = 90.00°. The distinct sites, in fractional coordinates, are Pr at (0.000, 0.000, 0.000), Pr at (0.163, 0.337, 0.155), Ag at (0.000, 0.000, 0.250) and Hg at (0.131, 0.369, 0.500).

***

Entry 2:
Computed, not measured: a relaxed Na3La3AsO8 crystal at the PBE level of DFT.

The calculation puts the formation energy from raw total energies at -3340 kJ/mol of formula units. As for the final energy: -6.511 eV per atom. As for the magnetization: 0.000 μB/atom.

It has space group R-3m (No. 166, hexagonal axes), with a = 7.0857 Å, b = 7.0857 Å, c = 16.7080 Å, α = 90.00°, β = 90.00° and γ = 120.00°. The distinct sites, in fractional coordinates, are Na at (0.0000, 0.5000, 0.0000), La at (0.0000, 0.5000, 0.5000), As at (0.0000, 0.0000, 0.5000), O at (0.0000, 0.0000, 0.2398) and O at (0.0518, 0.5259, 0.2322).

***

Entry 3:
Computed, not measured: a relaxed ZrPb3I crystal at the PBE level of DFT.

The calculation puts the formation energy from raw total energies at 532 kJ/mol of formula units. The calculation puts the excess energy over the best structure of this formula in the dataset at 833.2 meV/atom. As for the final energy: -3.142 eV per atom. As for the magnetization: 0.352 μB/atom.

It has space group Pm-3m (No. 221), with a = 5.883 Å, b = 5.883 Å, c = 5.883 Å, α = 90.00°, β = 90.00° and γ = 90.00°. The distinct sites, in fractional coordinates, are Zr at (0.000, 0.000, 0.000), Pb at (0.000, 0.500, 0.500) and I at (0.500, 0.500, 0.500).